1 | This record from Alexandria describes an optimized crystal structure of Zn2InTe. The functional is PBE.

Output
Total moment ... 0.000 μB/atom

Cell lengths 3.756, 3.752, 6.542 Å; angles 90.00, 90.00, 90.00 degrees
Atoms (fractional coordinates):
Zn 0.000 0.000 0.517
Zn 0.000 0.000 0.983
Te 0.500 0.500 0.750
In 0.500 0.500 0.250

2 | This record from Alexandria describes an optimized crystal structure of Zn2InTe. The functional is PBE.

Output
Total moment ... 0.000 μB/atom

Cell lengths 5.137, 5.137, 5.137 Å; angles 117.91, 117.91, 93.66 degrees
Atoms (fractional coordinates):
Zn 0.000 0.000 0.000
Zn 0.250 0.750 0.500
In 0.500 0.500 0.000
Te 0.750 0.250 0.500

3 | This record from Alexandria describes an optimized crystal structure of Zn2InTe. The functional is PBE.

Output
Total moment ... 0.000 μB/atom

Cell lengths 3.438, 3.438, 7.872 Å; angles 90.00, 90.00, 90.00 degrees
Atoms (fractional coordinates):
Zn 0.500 0.500 0.205
Zn 0.000 0.000 0.038
Te 0.500 0.500 0.806
In 0.000 0.000 0.451

4 | This record from Alexandria describes an optimized crystal structure of Zn2InTe. The functional is PBE.

Output
Total moment ... 0.000 μB/atom

Cell lengths 3.944, 3.944, 6.516 Å; angles 90.00, 90.00, 90.00 degrees
Atoms (fractional coordinates):
Zn 0.000 0.000 0.862
Zn 0.500 0.500 0.314
Te 0.500 0.500 0.896
In 0.000 0.000 0.429

Preferred: 4; penalty for the next structure: 74 meV per atom.

1 | This record from Alexandria describes an optimized crystal structure of Zn2InTe. The functional is PBE.

Output
Total moment ... 0.000 μB/atom

Cell lengths 6.602, 6.602, 6.602 Å; angles 144.63, 145.18, 50.48 degrees
Atoms (fractional coordinates):
In 0.519 0.519 0.000
Zn 0.796 0.296 0.500
Zn 0.955 0.955 0.000
Te 0.230 0.730 0.500

2 | This record from Alexandria describes an optimized crystal structure of Zn2InTe. The functional is PBE.

Output
Total moment ... 0.000 μB/atom

Cell lengths 4.246, 4.246, 6.729 Å; angles 70.80, 70.80, 59.40 degrees
Atoms (fractional coordinates):
In 0.483 0.483 0.541
Te 0.270 0.270 0.207
Zn 0.013 0.013 0.966
Zn 0.734 0.734 0.787

3 | This record from Alexandria describes an optimized crystal structure of Zn2InTe. The functional is PBE.

Output
Total moment ... 0.000 μB/atom

Cell lengths 5.537, 5.537, 5.537 Å; angles 138.85, 111.79, 82.87 degrees
Atoms (fractional coordinates):
Te 0.250 0.750 0.500
In 0.750 0.250 0.500
Zn 0.495 0.495 0.000
Zn 0.005 0.005 0.000

Preferred: 2; penalty for the next structure: 31 meV per atom.

1 | This record from Alexandria describes an optimized crystal structure of ZnInTe3. The functional is PBE.

Output
Total moment ... 0.000 μB/atom

Cell lengths 4.311, 7.184, 11.346 Å; angles 86.23, 90.00, 107.46 degrees
Atoms (fractional coordinates):
In 0.032 0.065 0.280
In 0.968 0.935 0.720
Te 0.174 0.347 0.731
Te 0.826 0.653 0.269
Te 0.126 0.252 0.053
Te 0.874 0.748 0.947
Te 0.406 0.813 0.567
Te 0.594 0.187 0.433
Zn 0.308 0.615 0.120
Zn 0.692 0.385 0.880

2 | This record from Alexandria describes an optimized crystal structure of ZnInTe3. The functional is PBE.

Output
Total moment ... 0.000 μB/atom

Cell lengths 5.718, 5.718, 5.718 Å; angles 90.00, 90.00, 90.00 degrees
Atoms (fractional coordinates):
In 0.000 0.000 0.000
Te 0.000 0.500 0.000
Te 0.500 0.000 0.000
Te 0.000 0.000 0.500
Zn 0.500 0.500 0.500

3 | This record from Alexandria describes an optimized crystal structure of ZnInTe3. The functional is PBE.

Output
Total moment ... 0.000 μB/atom

Cell lengths 5.398, 5.398, 5.398 Å; angles 90.00, 90.00, 90.00 degrees
Atoms (fractional coordinates):
Te 0.000 0.500 0.000
Te 0.000 0.000 0.500
Te 0.500 0.000 0.000
Zn 0.000 0.000 0.000
In 0.500 0.500 0.500

Preferred: 1; penalty for the next structure: 426 meV per atom.

1 | This record from Alexandria describes an optimized crystal structure of ZnIn2Te. The functional is PBE.

Output
Total moment ... 0.000 μB/atom

Cell lengths 6.844, 6.844, 7.704 Å; angles 63.63, 63.63, 90.00 degrees
Atoms (fractional coordinates):
In 0.159 0.625 0.250
In 0.375 0.409 0.750
In 0.591 0.125 0.250
In 0.875 0.841 0.750
Te 0.000 0.000 0.000
Te 0.750 0.250 0.500
Zn 0.250 0.750 0.500
Zn 0.500 0.500 0.000

2 | This record from Alexandria describes an optimized crystal structure of ZnIn2Te. The functional is PBE.

Output
Total moment ... 0.000 μB/atom

Cell lengths 6.761, 6.761, 6.761 Å; angles 142.77, 145.08, 51.96 degrees
Atoms (fractional coordinates):
In 0.953 0.953 0.000
In 0.547 0.547 0.000
Zn 0.250 0.750 0.500
Te 0.750 0.250 0.500

3 | This record from Alexandria describes an optimized crystal structure of ZnIn2Te. The functional is PBE.

Output
Total moment ... 0.000 μB/atom

Cell lengths 4.100, 3.150, 8.023 Å; angles 90.03, 90.00, 90.00 degrees
Atoms (fractional coordinates):
In 0.000 0.247 0.956
In 0.000 0.253 0.544
Zn 0.500 0.750 0.750
Te 0.500 0.250 0.250

Preferred: 3; penalty for the next structure: 25 meV per atom.